A plane-wave DFT calculation with GGA+U was carried out for a geometry-optimized CrPbNF2 structure.

a = 4.053 Å, b = 4.053 Å, c = 4.170 Å
α = 90.00°, β = 90.00°, γ = 90.00°
Element x y z (fractional)
1 Cr 0.000 0.000 0.000
2 Pb 0.500 0.500 0.500
3 N 0.000 0.000 0.500
4 F 0.000 0.500 0.000
5 F 0.500 0.000 0.000

* total moment: 3.0 μB per formula unit
* crystal system: tetragonal
* energy relative to the lowest polymorph listed for this composition: 0.0 kJ per mole of atoms
* Fermi-level density of states: 1.66 states/eV/f.u.